# PBE+U CsAlCrO2, optimized geometry
# E ... -4.65 eV/atom
data_CsAlCrO2
_cell_length_a 4.224
_cell_length_b 4.224
_cell_length_c 4.942
_cell_angle_alpha 90.00
_cell_angle_beta 90.00
_cell_angle_gamma 90.00
_space_group_name_H-M_alt 'P 4/m m m'
_space_group_IT_number 123
_space_group_name_Hall '-P 4 2'
loop_
_atom_site_label
_atom_site_fract_x
_atom_site_fract_y
_atom_site_fract_z
Cs1 0.000 0.000 0.000
Al1 0.500 0.500 0.000
Cr1 0.500 0.500 0.500
O1 0.000 0.500 0.500